(1)
Compound: PrPd4
Source: the Alexandria database
Functional: PBE-GGA
Structure: optimized geometry

a b c (Å): 5.1205 5.1205 5.1205
angles (deg): 90.00 90.00 90.00
Closest atoms and distances in Å follow each position.
Atoms (fractional coordinates):
Pd (0.5000, 0.0000, 0.5000)  2 Pr 2.56
Pr (0.5000, 0.5000, 0.5000)  6 Pd 2.56
Pd (0.5000, 0.5000, 0.0000)  2 Pr 2.56
Pd (0.0000, 0.5000, 0.5000)  2 Pr 2.56
Pd (0.0000, 0.0000, 0.0000)  12 Pd 3.62

Properties
* density: 7.01 g/cm3
* calculated formation energy: 4.45 eV per formula unit
* density of states at the Fermi level: 2.10 states/eV/f.u.

---

(2)
Compound: BeAl2Pt
Source: the Alexandria database
Functional: PBE-GGA
Structure: optimized geometry

a b c (Å): 8.2057 8.2058 8.2057
angles (deg): 20.04 20.04 20.04
Closest atoms and distances in Å follow each position.
Atoms (fractional coordinates):
Pt (0.7500, 0.7500, 0.7500)  6 Al 2.65, 6 Pt 2.86
Al (0.9972, 0.9972, 0.9972)  3 Be 2.55, 3 Pt 2.65
Al (0.5028, 0.5028, 0.5028)  3 Be 2.55, 3 Pt 2.65
Be (0.2500, 0.2500, 0.2500)  6 Al 2.55

Properties
* density: 7.55 g/cm3
* calculated formation energy: -1.00 eV per formula unit
* density of states at the Fermi level: 2.45 states/eV/f.u.

---

(3)
Compound: KPuSb2Au2
Source: the Alexandria database
Functional: PBE-GGA
Structure: optimized geometry

a b c (Å): 4.7238 4.7238 8.9602
angles (deg): 90.00 90.00 120.00
Closest atoms and distances in Å follow each position.
Atoms (fractional coordinates):
Sb (0.6667, 0.3333, 0.2872)  3 Au 2.73
Au (0.6667, 0.3333, 0.7021)  3 Sb 2.73
Au (0.3333, 0.6667, 0.2979)  3 Sb 2.73
K (0.0000, 0.0000, 0.0000)  6 Sb 3.75, 6 Au 3.82
Sb (0.3333, 0.6667, 0.7128)  3 Au 2.73
Pu (0.0000, 0.0000, 0.5000)  6 Au 3.27, 6 Sb 3.33

Properties
* density: 8.83 g/cm3
* formation energy (no corrections): -0.512 eV/atom
* density of states at the Fermi level: 13.47 states/eV/f.u.

---

(4)
Compound: Pm3SmPb
Source: the Alexandria database
Functional: PBE-GGA
Structure: optimized geometry

a b c (Å): 8.7821 9.2084 9.7444
angles (deg): 122.08 90.00 90.00
Closest atoms and distances in Å follow each position.
Atoms (fractional coordinates):
Pm (0.0633, 0.2856, 0.0744)  2 Pb 3.20-3.46, 1 Pm 3.49, 3 Sm 3.52-3.55
Pm (0.9367, 0.7144, 0.9256)  2 Pb 3.20-3.46, 1 Pm 3.49, 3 Sm 3.52-3.55
Pm (0.9181, 0.9175, 0.7091)  2 Pb 3.17, 1 Pm 3.49, 1 Sm 3.49
Pm (0.6965, 0.4133, 0.9571)  2 Pb 3.51, 4 Pm 3.56-3.81, 2 Sm 3.62-3.81
Pb (0.7505, 0.0954, 0.5480)  6 Pm 3.17-3.51, 2 Sm 3.19-3.44
Pm (0.1965, 0.5867, 0.5429)  2 Pb 3.51, 4 Pm 3.56-3.81, 2 Sm 3.62-3.81
Pm (0.5633, 0.7144, 0.4256)  2 Pb 3.20-3.46, 1 Pm 3.49, 3 Sm 3.52-3.55
Pm (0.4181, 0.0825, 0.7909)  2 Pb 3.17, 1 Pm 3.49, 1 Sm 3.49
Pm (0.5819, 0.9175, 0.2091)  2 Pb 3.17, 1 Pm 3.49, 1 Sm 3.49
Pb (0.2495, 0.9046, 0.4520)  6 Pm 3.17-3.51, 2 Sm 3.19-3.44
Sm (0.0634, 0.2831, 0.7117)  2 Pb 3.19-3.44, 4 Pm 3.49-3.55
Pm (0.0819, 0.0825, 0.2909)  2 Pb 3.17, 1 Pm 3.49, 1 Sm 3.49
Sm (0.4366, 0.2831, 0.2117)  2 Pb 3.19-3.44, 4 Pm 3.49-3.55
Pm (0.8035, 0.4133, 0.4571)  2 Pb 3.51, 4 Pm 3.56-3.81, 2 Sm 3.62-3.81
Pb (0.2505, 0.9046, 0.9520)  6 Pm 3.17-3.51, 2 Sm 3.19-3.44
Sm (0.5634, 0.7169, 0.7883)  2 Pb 3.19-3.44, 4 Pm 3.49-3.55
Sm (0.9366, 0.7169, 0.2883)  2 Pb 3.19-3.44, 4 Pm 3.49-3.55
Pm (0.4367, 0.2856, 0.5744)  2 Pb 3.20-3.46, 1 Pm 3.49, 3 Sm 3.52-3.55
Pm (0.3035, 0.5867, 0.0429)  2 Pb 3.51, 4 Pm 3.56-3.81, 2 Sm 3.62-3.81
Pb (0.7495, 0.0954, 0.0480)  6 Pm 3.17-3.51, 2 Sm 3.19-3.44

Properties
* density: 7.88 g/cm3
* calculated formation energy: -0.83 eV per formula unit
* density of states at the Fermi level: 5.65 states/eV/f.u.

---

(5)
Compound: NaLiSb2S
Source: the Alexandria database
Functional: PBE-GGA
Structure: optimized geometry

a b c (Å): 4.8799 5.2741 4.8799
angles (deg): 90.00 90.00 90.00
Closest atoms and distances in Å follow each position.
Atoms (fractional coordinates):
Sb (0.0000, 0.0000, 0.5000)  2 Li 2.44
Na (0.0000, 0.5000, 0.0000)  2 Li 2.64
Li (0.0000, 0.0000, 0.0000)  4 Sb 2.44, 2 Na 2.64
S (0.5000, 0.5000, 0.5000)  4 Na 3.45, 8 Sb 3.59
Sb (0.5000, 0.0000, 0.0000)  2 Li 2.44

Properties
* density: 4.04 g/cm3
* formation energy (no corrections): 0.221 eV/atom
* density of states at the Fermi level: 2.61 states/eV/f.u.

---

(6)
Compound: VCo2Tc
Source: the Alexandria database
Functional: PBE-GGA
Structure: optimized geometry

a b c (Å): 3.6407 3.6337 3.6337
angles (deg): 90.00 90.00 90.00
Closest atoms and distances in Å follow each position.
Atoms (fractional coordinates):
V (0.5000, 0.0000, 0.0000)  4 Tc 2.57, 8 Co 2.57
Tc (0.5000, 0.5000, 0.5000)  4 V 2.57, 8 Co 2.57
Co (0.0000, 0.0000, 0.5000)  4 Co 2.57, 4 Tc 2.57, 4 V 2.57
Co (0.0000, 0.5000, 0.0000)  4 Co 2.57, 4 Tc 2.57, 4 V 2.57

Properties
* density: 9.22 g/cm3
* calculated formation energy: -0.48 eV per formula unit
* density of states at the Fermi level: 2.73 states/eV/f.u.
* E above lowest polymorph: 0.00 kcal/mol of atoms

---

(7)
Compound: KZr2Re
Source: the Alexandria database
Functional: PBE-GGA
Structure: optimized geometry

a b c (Å): 3.0308 3.0308 11.1815
angles (deg): 90.00 90.00 114.24
Closest atoms and distances in Å follow each position.
Atoms (fractional coordinates):
K (0.0000, 0.0000, 0.5277)  6 K 3.03-3.29, 2 Re 3.34
Zr (0.0000, 0.0000, 0.9711)  2 Re 2.63
Zr (0.5000, 0.5000, 0.2137)  8 Zr 3.03-3.29
Re (0.5000, 0.5000, 0.7875)  2 Zr 2.63

Properties
* density: 7.23 g/cm3
* calculated formation energy: 2.40 eV per formula unit
* density of states at the Fermi level: 3.95 states/eV/f.u.
* E above lowest polymorph: 9.37 kcal/mol of atoms

---

(8)
Compound: Na4TlCd4
Source: the Alexandria database
Functional: PBE-GGA
Structure: optimized geometry

a b c (Å): 6.3638 8.8652 8.8652
angles (deg): 90.00 90.00 90.00
Closest atoms and distances in Å follow each position.
Atoms (fractional coordinates):
Cd (0.1276, 0.6873, 0.6113)  1 Tl 3.06, 3 Cd 3.12-3.18, 4 Na 3.26-3.35
Na (0.8497, 0.6715, 0.9228)  1 Tl 3.14, 5 Cd 3.26-3.50, 1 Na 3.33
Cd (0.3724, 0.1873, 0.1113)  1 Tl 3.06, 3 Cd 3.12-3.18, 4 Na 3.26-3.35
Cd (0.6276, 0.1113, 0.8127)  1 Tl 3.06, 3 Cd 3.12-3.18, 4 Na 3.26-3.35
Tl (0.0000, 0.0000, 0.0000)  4 Cd 3.06, 4 Na 3.14
Tl (0.5000, 0.5000, 0.5000)  4 Cd 3.06, 4 Na 3.14
Na (0.6503, 0.1715, 0.4228)  1 Tl 3.14, 5 Cd 3.26-3.50, 1 Na 3.33
Na (0.8497, 0.3285, 0.0772)  1 Tl 3.14, 5 Cd 3.26-3.50, 1 Na 3.33
Cd (0.8724, 0.3887, 0.6873)  1 Tl 3.06, 3 Cd 3.12-3.18, 4 Na 3.26-3.35
Cd (0.6276, 0.8887, 0.1873)  1 Tl 3.06, 3 Cd 3.12-3.18, 4 Na 3.26-3.35
Cd (0.8724, 0.6113, 0.3127)  1 Tl 3.06, 3 Cd 3.12-3.18, 4 Na 3.26-3.35
Na (0.1503, 0.9228, 0.3285)  1 Tl 3.14, 5 Cd 3.26-3.50, 1 Na 3.33
Na (0.1503, 0.0772, 0.6715)  1 Tl 3.14, 5 Cd 3.26-3.50, 1 Na 3.33
Cd (0.3724, 0.8127, 0.8887)  1 Tl 3.06, 3 Cd 3.12-3.18, 4 Na 3.26-3.35
Na (0.3497, 0.4228, 0.8285)  1 Tl 3.14, 5 Cd 3.26-3.50, 1 Na 3.33
Na (0.3497, 0.5772, 0.1715)  1 Tl 3.14, 5 Cd 3.26-3.50, 1 Na 3.33
Cd (0.1276, 0.3127, 0.3887)  1 Tl 3.06, 3 Cd 3.12-3.18, 4 Na 3.26-3.35
Na (0.6503, 0.8285, 0.5772)  1 Tl 3.14, 5 Cd 3.26-3.50, 1 Na 3.33

Properties
* density: 4.95 g/cm3
* calculated formation energy: -0.44 eV per formula unit
* density of states at the Fermi level: 4.51 states/eV/f.u.
* E above lowest polymorph: 0.81 kcal/mol of atoms